(1)
The following is a GGA-PBE calculation of As3Se after structural relaxation, from the Alexandria database.

abc: 3.7014 3.7014 7.2120
angles: 90.00 90.00 120.00
Positions (direct):
Se1 0.6667 0.3333 0.7500
As1 0.0000 0.0000 0.0136
As2 0.0000 0.0000 0.4864
As3 0.6667 0.3333 0.2500

Calculated values
* density: 5894 kg/m³
* energy above the most stable polymorph in this dataset: 157 meV per atom
* crystal system: hexagonal
* E_form (uncorrected): 237 meV/atom

---

(2)
The following is a GGA-PBE calculation of AsSe after structural relaxation, from the Alexandria database.

abc: 4.9397 4.9397 4.5843
angles: 90.00 90.00 90.00
Positions (direct):
As1 0.7500 0.2500 0.0000
As2 0.2500 0.7500 0.0000
Se1 0.7500 0.7500 0.7858
Se2 0.2500 0.2500 0.2142

Calculated values
* density: 4569 kg/m³
* crystal system: tetragonal
* E_form (uncorrected): 223 meV/atom